1.
First-principles (PBE) data for crystalline RbCa2Bi2 at its relaxed geometry, as listed in the Alexandria database.

Lattice parameters (Å, degrees): 9.6128 9.6128 3.7789 90.00 90.00 90.00
Closest atoms and distances in Å follow each position.
Space group P4/mbm (No. 127)
Symmetry-distinct sites (fractional):
Rb (0.0000, 0.0000, 0.0000) [2 per cell]  4 Ca 3.77, 2 Rb 3.78, 8 Bi 4.06
Ca (0.1306, 0.3694, 0.0000) [4 per cell]  6 Bi 3.37-3.42, 1 Ca 3.55, 2 Rb 3.77
Bi (0.1643, 0.6643, 0.5000) [4 per cell]  6 Ca 3.37-3.42

Computed properties:
* polymorph energy (0 for the lowest one): 0.00 eV/f.u.


2.
First-principles (PBE) data for crystalline Ti4SnAu at its relaxed geometry, as listed in the Alexandria database.

Lattice parameters (Å, degrees): 7.9714 18.4142 2.9035 90.00 90.00 90.00
Closest atoms and distances in Å follow each position.
Space group Pbam (No. 55)
Symmetry-distinct sites (fractional):
Ti (0.0653, 0.1870, 0.0000) [4 per cell]  5 Ti 2.68-2.90, 2 Au 2.93, 2 Sn 3.00
Ti (0.0722, 0.4397, 0.0000) [4 per cell]  3 Ti 2.50-2.73
Ti (0.2160, 0.0565, 0.0000) [4 per cell]  5 Ti 2.69-2.90, 4 Au 2.88-2.94
Ti (0.2280, 0.3142, 0.0000) [4 per cell]  5 Ti 2.62-2.90, 2 Au 2.92
Sn (0.1056, 0.6854, 0.5000) [4 per cell]  2 Sn 2.90, 12 Ti 3.00-3.13
Au (0.1026, 0.9305, 0.5000) [4 per cell]  10 Ti 2.88-2.98, 3 Au 2.90-3.04

Computed properties:
* polymorph energy (0 for the lowest one): 0.00 eV/f.u.


3.
First-principles (PBE) data for crystalline Ho5Al4Au at its relaxed geometry, as listed in the Alexandria database.

Lattice parameters (Å, degrees): 3.5764 3.5764 18.0417 90.00 90.00 90.00
Closest atoms and distances in Å follow each position.
Space group P4/mmm (No. 123)
Symmetry-distinct sites (fractional):
Ho (0.0000, 0.0000, 0.0000) [1 per cell]  8 Al 3.10
Ho (0.0000, 0.0000, 0.1988) [2 per cell]  8 Al 3.10-3.11
Ho (0.0000, 0.0000, 0.4013) [2 per cell]  4 Au 3.09, 4 Al 3.14
Al (0.5000, 0.5000, 0.0989) [2 per cell]  8 Ho 3.10-3.11
Al (0.5000, 0.5000, 0.2983) [2 per cell]  8 Ho 3.10-3.14
Au (0.5000, 0.5000, 0.5000) [1 per cell]  8 Ho 3.09


4.
First-principles (PBE) data for crystalline GeMoOs at its relaxed geometry, as listed in the Alexandria database.

Lattice parameters (Å, degrees): 2.9239 2.9239 12.2570 90.00 90.00 120.00
Closest atoms and distances in Å follow each position.
Space group P-6m2 (No. 187)
Symmetry-distinct sites (fractional):
Ge (0.0000, 0.0000, 0.1658) [2 per cell]  3 Os 2.58, 3 Mo 2.64
Mo (0.0000, 0.0000, 0.5000) [1 per cell]  6 Os 2.73, 6 Mo 2.92
Mo (0.3333, 0.6667, 0.0000) [1 per cell]  6 Ge 2.64, 6 Mo 2.92
Os (0.3333, 0.6667, 0.3249) [2 per cell]  3 Ge 2.58, 3 Mo 2.73


5.
First-principles (PBE) data for crystalline Rb2SrAsBr6 at its relaxed geometry, as listed in the Alexandria database.

Lattice parameters (Å, degrees): 7.9866 7.9866 12.7800 90.00 90.00 90.00
Closest atoms and distances in Å follow each position.
Space group I4/mmm (No. 139)
Symmetry-distinct sites (fractional):
Rb (0.0000, 0.5000, 0.2500) [4 per cell]  12 Br 4.00-4.27
Sr (0.0000, 0.0000, 0.0000) [2 per cell]  6 Br 2.98-3.01
As (0.0000, 0.0000, 0.5000) [2 per cell]  4 Br 2.64
Br (0.0000, 0.0000, 0.2330) [4 per cell]  1 Sr 2.98
Br (0.2335, 0.2335, 0.5000) [8 per cell]  1 As 2.64

Computed properties:
* formation energy from raw total energies: -1.3029 eV per atom


6.
First-principles (PBE) data for crystalline Ho5Al2Sn at its relaxed geometry, as listed in the Alexandria database.

Lattice parameters (Å, degrees): 7.9487 7.9487 13.5772 90.00 90.00 90.00
Closest atoms and distances in Å follow each position.
Space group I4/mcm (No. 140)
Symmetry-distinct sites (fractional):
Ho (0.0000, 0.0000, 0.0000) [4 per cell]  4 Al 3.14, 2 Sn 3.39
Ho (0.1637, 0.3363, 0.1470) [16 per cell]  3 Al 3.06-3.09, 2 Sn 3.29, 1 Ho 3.40
Al (0.1260, 0.3740, 0.5000) [8 per cell]  1 Al 2.83, 8 Ho 3.06-3.14
Sn (0.0000, 0.0000, 0.2500) [4 per cell]  10 Ho 3.29-3.39


7.
First-principles (PBE) data for crystalline Ce5Pu2Sn2 at its relaxed geometry, as listed in the Alexandria database.

Lattice parameters (Å, degrees): 5.0669 5.0669 8.8896 90.00 90.00 90.00
Closest atoms and distances in Å follow each position.
Space group P4/mmm (No. 123)
Symmetry-distinct sites (fractional):
Ce (0.0000, 0.0000, 0.0000) [1 per cell]  2 Pu 3.25, 8 Ce 3.46, 4 Sn 3.58
Ce (0.0000, 0.5000, 0.2657) [4 per cell]  2 Pu 2.69
Pu (0.0000, 0.0000, 0.3658) [2 per cell]  1 Pu 2.39
Sn (0.5000, 0.5000, 0.0000) [1 per cell]  12 Ce 3.46-3.58
Sn (0.5000, 0.5000, 0.5000) [1 per cell]  8 Ce 3.28


8.
First-principles (PBE) data for crystalline RbMnCr2 at its relaxed geometry, as listed in the Alexandria database.

Lattice parameters (Å, degrees): 6.2160 6.2160 6.2160 90.00 90.00 90.00
Closest atoms and distances in Å follow each position.
Space group Fm-3m (No. 225)
Symmetry-distinct sites (fractional):
Rb (0.0000, 0.0000, 0.0000) [4 per cell]  8 Cr 2.69
Mn (0.0000, 0.0000, 0.5000) [4 per cell]  8 Cr 2.69
Cr (0.2500, 0.2500, 0.2500) [8 per cell]  4 Mn 2.69, 4 Rb 2.69

Computed properties:
* polymorph energy (0 for the lowest one): 3.05 eV/f.u.


9.
First-principles (PBE) data for crystalline Cs2K2Bi at its relaxed geometry, as listed in the Alexandria database.

Lattice parameters (Å, degrees): 9.3063 9.3063 7.0620 90.00 90.00 90.00
Closest atoms and distances in Å follow each position.
Space group P4/mbm (No. 127)
Symmetry-distinct sites (fractional):
Cs (0.2068, 0.2932, 0.0000) [4 per cell]  2 K 3.99
K (0.1525, 0.6525, 0.5000) [4 per cell]  2 Bi 3.53
Bi (0.0000, 0.0000, 0.5000) [2 per cell]  4 K 3.53

Computed properties:
* polymorph energy (0 for the lowest one): 0.37 eV/f.u.


10.
First-principles (PBE) data for crystalline ScFe2Os at its relaxed geometry, as listed in the Alexandria database.

Lattice parameters (Å, degrees): 5.2483 8.3513 2.6918 90.00 107.07 90.00
Closest atoms and distances in Å follow each position.
Space group C2/m (No. 12)
Symmetry-distinct sites (fractional):
Sc (0.0000, 0.0000, 0.0000) [2 per cell]  4 Fe 2.62, 2 Os 2.62, 2 Sc 2.69
Fe (0.2500, 0.2500, 0.5000) [4 per cell]  2 Os 2.62, 2 Sc 2.62, 4 Fe 2.62-2.69
Os (0.0000, 0.5000, 0.0000) [2 per cell]  4 Fe 2.62, 2 Sc 2.62, 2 Os 2.69

Computed properties:
* polymorph energy (0 for the lowest one): 0.25 eV/f.u.


11.
First-principles (PBE) data for crystalline FeTcRu at its relaxed geometry, as listed in the Alexandria database.

Lattice parameters (Å, degrees): 2.8864 4.4358 12.9944 90.00 90.00 90.00
Closest atoms and distances in Å follow each position.
Space group Fmm2 (No. 42)
Symmetry-distinct sites (fractional):
Fe (0.0000, 0.0000, 0.0000) [4 per cell]  2 Tc 2.57, 2 Ru 2.57, 4 Fe 2.65
Tc (0.0000, 0.0000, 0.3365) [4 per cell]  2 Fe 2.57, 4 Tc 2.65, 2 Ru 2.67
Ru (0.0000, 0.0000, 0.6636) [4 per cell]  2 Fe 2.57, 4 Ru 2.65, 2 Tc 2.67

Computed properties:
* polymorph energy (0 for the lowest one): 0.62 eV/f.u.


12.
First-principles (PBE) data for crystalline DyZnCu3 at its relaxed geometry, as listed in the Alexandria database.

Lattice parameters (Å, degrees): 4.0855 4.0855 9.9949 90.00 90.00 90.00
Closest atoms and distances in Å follow each position.
Space group I4mm (No. 107)
Symmetry-distinct sites (fractional):
Dy (0.0000, 0.0000, 0.0000) [2 per cell]  12 Cu 3.09-3.29, 4 Zn 3.15
Zn (0.0000, 0.0000, 0.6255) [2 per cell]  5 Cu 2.36-2.44
Cu (0.0000, 0.0000, 0.3897) [2 per cell]  1 Zn 2.36, 4 Cu 2.43
Cu (0.0000, 0.5000, 0.2585) [4 per cell]  2 Cu 2.43, 2 Zn 2.44

Computed properties:
* polymorph energy (0 for the lowest one): 0.00 eV/f.u.


13.
First-principles (PBE) data for crystalline YAsPb2 at its relaxed geometry, as listed in the Alexandria database.

Lattice parameters (Å, degrees): 7.5833 7.5833 7.5833 90.00 90.00 90.00
Closest atoms and distances in Å follow each position.
Space group F-43m (No. 216)
Symmetry-distinct sites (fractional):
Y (0.0000, 0.0000, 0.0000) [4 per cell]  4 As 3.28, 4 Pb 3.28
As (0.2500, 0.2500, 0.7500) [4 per cell]  4 Pb 3.28, 4 Y 3.28
Pb (0.0000, 0.0000, 0.5000) [4 per cell]  4 As 3.28, 4 Pb 3.28
Pb (0.2500, 0.2500, 0.2500) [4 per cell]  4 Pb 3.28, 4 Y 3.28


14.
First-principles (PBE) data for crystalline TeBrO2F at its relaxed geometry, as listed in the Alexandria database.

Lattice parameters (Å, degrees): 4.5154 4.5154 4.2548 90.00 90.00 90.00
Closest atoms and distances in Å follow each position.
Space group P4/mmm (No. 123)
Symmetry-distinct sites (fractional):
Te (0.0000, 0.0000, 0.0000) [1 per cell]  2 F 2.13
Br (0.5000, 0.5000, 0.0000) [1 per cell]  8 O 3.10, 4 Te 3.19
O (0.0000, 0.5000, 0.5000) [2 per cell]  2 F 2.26
F (0.0000, 0.0000, 0.5000) [1 per cell]  2 Te 2.13, 4 O 2.26

Computed properties:
* formation energy from raw total energies: 0.7155 eV per atom


15.
First-principles (PBE) data for crystalline AcTeP2 at its relaxed geometry, as listed in the Alexandria database.

Lattice parameters (Å, degrees): 4.8105 4.8105 4.1846 90.00 90.00 90.00
Closest atoms and distances in Å follow each position.
Space group P4/mmm (No. 123)
Symmetry-distinct sites (fractional):
Ac (0.0000, 0.0000, 0.0000) [1 per cell]  8 P 3.19, 4 Te 3.40
Te (0.5000, 0.5000, 0.0000) [1 per cell]  8 P 3.19, 4 Ac 3.40
P (0.0000, 0.5000, 0.5000) [2 per cell]  4 Ac 3.19, 4 Te 3.19, 4 P 3.40

Computed properties:
* formation energy from raw total energies: -0.4384 eV per atom


16.
First-principles (PBE) data for crystalline LaTb2Ho at its relaxed geometry, as listed in the Alexandria database.

Lattice parameters (Å, degrees): 8.1210 8.1210 8.1210 90.00 90.00 90.00
Closest atoms and distances in Å follow each position.
Space group Fm-3m (No. 225)
Symmetry-distinct sites (fractional):
La (0.0000, 0.0000, 0.0000) [4 per cell]  8 Tb 3.52
Tb (0.2500, 0.2500, 0.2500) [8 per cell]  4 Ho 3.52, 4 La 3.52
Ho (0.0000, 0.0000, 0.5000) [4 per cell]  8 Tb 3.52

Computed properties:
* polymorph energy (0 for the lowest one): 0.52 eV/f.u.


17.
First-principles (PBE) data for crystalline PmMg4Pt4 at its relaxed geometry, as listed in the Alexandria database.

Lattice parameters (Å, degrees): 6.6372 6.6372 8.2383 90.00 90.00 90.00
Closest atoms and distances in Å follow each position.
Space group P4_2/nmc (No. 137, origin choice 2)
Symmetry-distinct sites (fractional):
Pm (0.2500, 0.7500, 0.2500) [2 per cell]  4 Pt 3.09
Mg (0.0007, 0.2500, 0.1353) [8 per cell]  5 Pt 2.62-2.65
Pt (0.0393, 0.2500, 0.4558) [8 per cell]  5 Mg 2.62-2.65, 1 Pt 2.80


18.
First-principles (PBE) data for crystalline CsBi4Se6 at its relaxed geometry, as listed in the Alexandria database.

Lattice parameters (Å, degrees): 4.4950 14.1853 22.2639 90.00 90.00 90.00
Closest atoms and distances in Å follow each position.
Space group Cmcm (No. 63)
Symmetry-distinct sites (fractional):
Cs (0.0000, 0.1522, 0.2500) [4 per cell]  6 Se 3.50-3.63
Bi (0.0000, 0.0932, 0.6326) [8 per cell]  3 Se 2.77-2.86
Bi (0.0000, 0.3639, 0.5384) [8 per cell]  6 Se 2.90-3.08
Se (0.0000, 0.0000, 0.0000) [4 per cell]  6 Bi 3.08-3.24
Se (0.0000, 0.1589, 0.7500) [4 per cell]  2 Bi 2.77
Se (0.0000, 0.2569, 0.0808) [8 per cell]  5 Bi 2.98-3.30
Se (0.0000, 0.4717, 0.6493) [8 per cell]  3 Bi 2.86-2.90

Computed properties:
* polymorph energy (0 for the lowest one): 0.00 eV/f.u.
* formation energy from raw total energies: -0.4886 eV per atom


19.
First-principles (PBE) data for crystalline CeNiPb at its relaxed geometry, as listed in the Alexandria database.

Lattice parameters (Å, degrees): 4.6098 4.6098 3.7823 90.00 90.00 120.00
Closest atoms and distances in Å follow each position.
Space group P-6m2 (No. 187)
Symmetry-distinct sites (fractional):
Ce (0.0000, 0.0000, 0.0000) [1 per cell]  6 Pb 3.26, 6 Ni 3.26
Ni (0.3333, 0.6667, 0.5000) [1 per cell]  3 Pb 2.66
Pb (0.6667, 0.3333, 0.5000) [1 per cell]  3 Ni 2.66


| no. | raw total energy (eV per atom) |
| --- | --- |
| 1 | -3.22 |
| 2 | -6.56 |
| 3 | -4.59 |
| 4 | -8.81 |
| 5 | -3.13 |
| 6 | -4.74 |
| 7 | -7.64 |
| 8 | -5.27 |
| 9 | -1.71 |
| 10 | -8.57 |
| 11 | -9.08 |
| 12 | -3.79 |
| 13 | -4.83 |
| 14 | -2.60 |
| 15 | -4.96 |
| 16 | -4.55 |
| 17 | -4.59 |
| 18 | -3.88 |
| 19 | -5.44 |